# 1
DFT (PBE-GGA) results for a relaxed Na2HfF crystal.

POSCAR file:
```
Na2HfF
1.0
1.9197 -3.5034 3.4767
-2.4015 -0.6840 4.6703
-2.6501 -4.4783 0.9841
Na F Hf
2 1 1
Direct
0.2500 0.2500 0.2500
0.7500 0.7500 0.7500
0.0000 0.0000 0.0000
0.5000 0.5000 0.5000
```

Magnetization: 3.00 μB per formula unit
VASP energy: -3.19 eV per atom
DOS at the Fermi energy: 0.712 states/eV per atom



# 2
DFT (PBE-GGA) results for a relaxed Cs3CdAs2O8 crystal.

POSCAR file:
```
Cs3CdAs2O8
1.0
-5.4895 -1.5189 -2.3576
4.8416 -3.7280 -0.8125
-1.9462 -4.0894 7.1665
O As Cs Cd
8 2 3 1
Direct
0.1782 0.3565 0.3381
0.3333 0.6667 0.0764
0.6667 0.3333 0.9236
0.3565 0.1782 0.6619
0.8218 0.6435 0.6619
0.6435 0.8218 0.3381
0.1782 0.8218 0.3381
0.8218 0.1782 0.6619
0.6667 0.3333 0.7206
0.3333 0.6667 0.2794
0.3333 0.6667 0.7259
0.6667 0.3333 0.2741
0.0000 0.0000 0.0000
0.0000 0.0000 0.5000
```

Magnetization: 1.10 μB per formula unit
VASP energy: -5.14 eV per atom
DOS at the Fermi energy: 0.621 states/eV per atom



# 3
DFT (PBE-GGA) results for a relaxed NaCa6Tl5 crystal.

POSCAR file:
```
NaCa6Tl5
1.0
5.2301 -0.0311 1.7430
0.0422 7.8819 0.0141
-0.0143 -0.0156 8.7615
Ca Tl Na
6 5 1
Direct
0.1714 0.7453 0.6572
0.8286 0.2547 0.3428
0.1714 0.2547 0.6572
0.8286 0.7453 0.3428
0.5000 0.7353 0.0000
0.5000 0.2647 0.0000
0.0000 0.5000 0.0000
0.6660 0.5000 0.6680
0.6609 0.0000 0.6782
0.3340 0.5000 0.3320
0.3391 0.0000 0.3218
0.0000 0.0000 0.0000
```

Magnetization: 0.00 μB per formula unit
Energy relative to the elements: -0.37 eV/atom
VASP energy: -2.47 eV per atom
DOS at the Fermi energy: 0.717 states/eV per atom



# 4
DFT (PBE-GGA) results for a relaxed Ho6GeTe2S3 crystal.

POSCAR file:
```
Ho6GeTe2S3
1.0
-3.3829 5.5975 -2.6799
-3.1536 -3.9916 4.9070
4.7655 3.3296 4.0642
Ge S Te Ho
1 3 2 6
Direct
0.0000 0.0000 0.0000
0.5000 0.5000 0.5000
0.8254 0.1746 0.5000
0.1746 0.8254 0.5000
0.3346 0.6654 0.0000
0.6654 0.3346 0.0000
0.4008 0.0910 0.2765
0.7854 0.7854 0.2773
0.2146 0.2146 0.7227
0.5992 0.9090 0.7235
0.9090 0.5992 0.7235
0.0910 0.4008 0.2765
```

Magnetization: 0.00 μB per formula unit
VASP energy: -5.81 eV per atom
DOS at the Fermi energy: 0.396 states/eV per atom



# 5
DFT (PBE-GGA) results for a relaxed Zn2PdBr2 crystal.

POSCAR file:
```
Zn2PdBr2
1.0
7.8953 0.0000 0.0000
0.0000 7.8953 0.0000
0.0000 0.0000 3.8344
Br Pd Zn
4 2 4
Direct
0.2530 0.7530 0.0000
0.7530 0.7470 0.0000
0.7470 0.2470 0.0000
0.2470 0.2530 0.0000
0.0000 0.0000 0.0000
0.5000 0.5000 0.0000
0.1055 0.6055 0.5000
0.8945 0.3945 0.5000
0.6055 0.8945 0.5000
0.3945 0.1055 0.5000
```

Magnetization: 0.00 μB per formula unit
VASP energy: -2.24 eV per atom
DOS at the Fermi energy: 0.104 states/eV per atom
Offset from the most stable computed form: 0.0 meV/atom



# 6
DFT (PBE-GGA) results for a relaxed P2RhCl crystal.

POSCAR file:
```
P2RhCl
1.0
-3.9863 -4.1820 -3.3548
-3.8187 -5.2886 1.4435
1.9876 6.2703 1.1694
P Rh Cl
2 1 1
Direct
0.6412 0.1412 0.5000
0.0331 0.0331 0.0000
0.4954 0.4954 0.0000
0.3302 0.8302 0.5000
```

Magnetization: 0.00 μB per formula unit
VASP energy: -5.12 eV per atom
DOS at the Fermi energy: 0.468 states/eV per atom
Offset from the most stable computed form: 53.5 meV/atom



# 7
DFT (PBE-GGA) results for a relaxed Ti2Cu3Au3 crystal.

POSCAR file:
```
Ti2Cu3Au3
1.0
5.0049 -0.2453 0.2399
-0.2397 5.0051 0.2399
0.2456 0.2453 5.0046
Ti Cu Au
2 3 3
Direct
0.7057 0.7057 0.2943
0.2943 0.2943 0.7057
0.1979 0.8021 0.5000
0.8021 0.5000 0.8021
0.5000 0.1979 0.1979
0.0000 0.2499 0.2499
0.7501 0.0000 0.7501
0.2499 0.7501 0.0000
```

Magnetization: 1.56 μB per formula unit
Energy relative to the elements: -0.13 eV/atom
VASP energy: -4.87 eV per atom
DOS at the Fermi energy: 0.756 states/eV per atom



# 8
DFT (PBE-GGA) results for a relaxed Zr2SiGe crystal.

POSCAR file:
```
Zr2SiGe
1.0
-6.9480 -1.1433 1.8590
1.9922 -0.7901 6.9602
-2.8456 1.9842 4.8498
Si Zr Ge
2 4 2
Direct
0.2500 0.7500 0.5000
0.5000 0.5000 0.0000
0.1289 0.6250 0.2500
0.3750 0.3789 0.7500
0.8750 0.8711 0.7500
0.6211 0.1250 0.2500
0.0000 0.0000 0.0000
0.7500 0.2500 0.5000
```

Magnetization: 0.00 μB per formula unit
VASP energy: -7.23 eV per atom
DOS at the Fermi energy: 0.097 states/eV per atom



# 9
DFT (PBE-GGA) results for a relaxed YCd2W crystal.

POSCAR file:
```
YCd2W
1.0
5.2063 0.0000 0.0000
0.0000 5.2063 0.0000
0.0000 0.0000 3.0802
Y W Cd
1 1 2
Direct
0.0000 0.5000 0.5000
0.5000 0.0000 0.5000
0.0000 0.0000 0.0000
0.5000 0.5000 0.0000
```

Magnetization: 0.00 μB per formula unit
Energy relative to the elements: 0.51 eV/atom
VASP energy: -4.80 eV per atom
DOS at the Fermi energy: 0.494 states/eV per atom
Offset from the most stable computed form: 196.6 meV/atom



# 10
DFT (PBE-GGA) results for a relaxed Ba6Hg3Rh crystal.

POSCAR file:
```
Ba6Hg3Rh
1.0
-2.2695 -6.5456 -4.3559
-3.2436 -3.8978 7.5471
-10.9187 4.4619 -2.3882
Ba Hg Rh
12 6 2
Direct
0.8089 0.6662 0.5614
0.6503 0.4539 0.2635
0.1911 0.3338 0.4386
0.1493 0.2999 0.0719
0.1503 0.0461 0.7635
0.3497 0.5461 0.7365
0.8507 0.7001 0.9281
0.3507 0.7999 0.4281
0.6911 0.1662 0.9386
0.8497 0.9539 0.2365
0.3089 0.8338 0.0614
0.6493 0.2001 0.5719
0.4467 0.1131 0.2408
0.5533 0.8869 0.7592
0.5000 0.5000 0.0000
0.0000 0.0000 0.5000
0.0533 0.6131 0.2592
0.9467 0.3869 0.7408
0.5000 0.5000 0.5000
0.0000 0.0000 0.0000
```

Magnetization: 0.00 μB per formula unit
Energy relative to the elements: -0.35 eV/atom
VASP energy: -2.33 eV per atom
DOS at the Fermi energy: 0.719 states/eV per atom



# 11
DFT (PBE-GGA) results for a relaxed RbLaZnO3 crystal.

POSCAR file:
```
RbLaZnO3
1.0
3.7232 0.0000 0.0000
0.0000 8.1381 0.1759
0.0000 -1.9724 8.0452
O Rb Zn La
6 2 2 2
Direct
0.7500 0.1530 0.5325
0.2500 0.1562 0.8461
0.7500 0.8438 0.1539
0.2500 0.8470 0.4675
0.2500 0.5476 0.8709
0.7500 0.4524 0.1291
0.7500 0.8198 0.7982
0.2500 0.1802 0.2018
0.2500 0.0812 0.6091
0.7500 0.9188 0.3909
0.7500 0.3528 0.8413
0.2500 0.6472 0.1587
```

Magnetization: 0.00 μB per formula unit
VASP energy: -5.85 eV per atom
DOS at the Fermi energy: 0.000 states/eV per atom



# 12
DFT (PBE-GGA) results for a relaxed Pm12HoTm2 crystal.

POSCAR file:
```
Pm12HoTm2
1.0
6.5769 -1.5600 -0.3060
-1.5600 6.5769 -0.3060
-1.4945 -1.4945 24.9992
Pm Ho Tm
24 2 4
Direct
0.9257 0.8587 0.1997
0.0636 0.1235 0.0699
0.3408 0.8408 0.4215
0.8076 0.3076 0.4245
0.4992 0.4642 0.6730
0.4364 0.3765 0.9301
0.6924 0.1924 0.5755
0.7346 0.2346 0.1633
0.5743 0.6413 0.8003
0.7654 0.2654 0.8367
0.3221 0.3552 0.4436
0.8765 0.9364 0.9301
0.3587 0.4257 0.1997
0.6235 0.5636 0.0699
0.6448 0.6779 0.5564
0.1413 0.0743 0.8003
0.2708 0.7708 0.8814
0.1779 0.1448 0.5564
0.8552 0.8221 0.4436
0.9642 0.9992 0.6730
0.0008 0.0358 0.3270
0.1592 0.6592 0.5785
0.5358 0.5008 0.3270
0.2292 0.7292 0.1186
0.5099 0.0099 0.0164
0.9901 0.4901 0.9836
0.0250 0.5250 0.7266
0.4750 0.9750 0.2734
0.0096 0.5096 0.2932
0.4904 0.9904 0.7068
```

Magnetization: 0.00 μB per formula unit
Energy relative to the elements: 0.10 eV/atom
VASP energy: -4.60 eV per atom
DOS at the Fermi energy: 1.242 states/eV per atom



# 13
DFT (PBE-GGA) results for a relaxed ZrAg2F11 crystal.

POSCAR file:
```
ZrAg2F11
1.0
-3.1353 1.4388 8.0748
-7.1183 -3.0461 2.5531
0.6599 -5.4738 6.0058
F Ag Zr
22 4 2
Direct
0.5783 0.0525 0.6608
0.7916 0.4475 0.8392
0.6588 0.3405 0.6595
0.5539 0.2073 0.0784
0.3396 0.2927 0.4216
0.0539 0.5784 0.7073
0.4217 0.9475 0.3392
0.8412 0.8405 0.1595
0.2916 0.3392 0.9475
0.1604 0.0784 0.2073
0.8396 0.9216 0.7927
0.6604 0.7073 0.5784
0.5000 0.5000 0.5000
0.9462 0.4216 0.2927
0.3412 0.6595 0.3405
0.1588 0.1595 0.8405
0.2084 0.5525 0.1608
0.0783 0.1608 0.5525
0.0000 0.0000 0.0000
0.9217 0.8392 0.4475
0.7084 0.6608 0.0525
0.4462 0.7927 0.9216
0.8185 0.1821 0.8179
0.6815 0.6821 0.3179
0.3185 0.3179 0.6821
0.1815 0.8179 0.1821
0.7500 0.7500 0.7500
0.2500 0.2500 0.2500
```

Magnetization: 2.65 μB per formula unit
VASP energy: -4.24 eV per atom
DOS at the Fermi energy: 0.286 states/eV per atom



# 14
DFT (PBE-GGA) results for a relaxed La5CePm crystal.

POSCAR file:
```
La5CePm
1.0
6.1486 0.0000 1.5035
3.0743 8.7429 0.7517
-0.2973 0.0000 9.1535
La Pm Ce
10 2 2
Direct
0.2668 0.2885 0.9523
0.7332 0.7115 0.0477
0.9785 0.6364 0.6584
0.1482 0.7035 0.2500
0.4447 0.2885 0.5477
0.0215 0.3636 0.3416
0.3851 0.6364 0.8416
0.8518 0.2965 0.7500
0.5553 0.7115 0.4523
0.6149 0.3636 0.1584
0.0000 0.0000 0.0000
0.0000 0.0000 0.5000
0.4952 0.0097 0.7500
0.5048 0.9903 0.2500
```

Magnetization: 0.87 μB per formula unit
Energy relative to the elements: 0.18 eV/atom
VASP energy: -4.87 eV per atom
DOS at the Fermi energy: 2.169 states/eV per atom



# 15
DFT (PBE-GGA) results for a relaxed Ti2CuOs crystal.

POSCAR file:
```
Ti2CuOs
1.0
3.0851 0.0000 0.0000
0.0000 4.3668 0.0000
0.0000 0.0000 4.3668
Cu Os Ti
1 1 2
Direct
0.5000 0.0000 0.0000
0.5000 0.5000 0.5000
0.0000 0.5000 0.0000
0.0000 0.0000 0.5000
```

Magnetization: 0.00 μB per formula unit
Energy relative to the elements: -0.38 eV/atom
VASP energy: -8.16 eV per atom
DOS at the Fermi energy: 1.074 states/eV per atom



# 16
DFT (PBE-GGA) results for a relaxed Nd3Sm2Y6 crystal.

POSCAR file:
```
Nd3Sm2Y6
1.0
0.7419 5.1317 3.4351
-1.2871 -0.1243 6.0946
11.1417 -1.3435 3.3947
Y Nd Sm
6 3 2
Direct
0.4175 0.6675 0.7477
0.0850 0.3325 0.7477
0.5825 0.3325 0.2523
0.9150 0.6675 0.2523
0.2501 0.0000 0.2520
0.7499 0.0000 0.7480
0.3359 0.3282 0.0000
0.0000 0.0000 0.0000
0.6641 0.6718 0.0000
0.1664 0.6671 0.5000
0.8336 0.3329 0.5000
```

Magnetization: 0.00 μB per formula unit
Energy relative to the elements: 0.19 eV/atom
VASP energy: -5.49 eV per atom
DOS at the Fermi energy: 1.624 states/eV per atom



# 17
DFT (PBE-GGA) results for a relaxed SiNiTeI2 crystal.

POSCAR file:
```
SiNiTeI2
1.0
5.1738 0.0000 0.0000
0.0000 5.1738 0.0000
0.0000 0.0000 5.1518
I Te Ni Si
2 1 1 1
Direct
0.5000 0.0000 0.0000
0.0000 0.5000 0.0000
0.0000 0.0000 0.5000
0.0000 0.0000 0.0000
0.5000 0.5000 0.5000
```

Magnetization: 0.00 μB per formula unit
VASP energy: -2.94 eV per atom
DOS at the Fermi energy: 0.820 states/eV per atom
Offset from the most stable computed form: 0.0 meV/atom



# 18
DFT (PBE-GGA) results for a relaxed NpIn2Te crystal.

POSCAR file:
```
NpIn2Te
1.0
5.1672 0.0000 0.0000
0.0000 4.4765 0.0000
0.0000 0.0000 4.4765
In Np Te
2 1 1
Direct
0.0000 0.5000 0.0000
0.0000 0.0000 0.5000
0.5000 0.0000 0.0000
0.5000 0.5000 0.5000
```

Magnetization: 4.45 μB per formula unit
VASP energy: -5.54 eV per atom
DOS at the Fermi energy: 2.813 states/eV per atom



# 19
DFT (PBE-GGA) results for a relaxed ReNiAu2 crystal.

POSCAR file:
```
ReNiAu2
1.0
3.8736 0.0000 0.0000
0.0000 4.0379 0.0000
0.0000 0.0000 4.0379
Au Re Ni
2 1 1
Direct
0.0000 0.5000 0.5000
0.0000 0.0000 0.0000
0.5000 0.0000 0.5000
0.5000 0.5000 0.0000
```

Magnetization: 2.74 μB per formula unit
Energy relative to the elements: 0.66 eV/atom
VASP energy: -5.54 eV per atom
DOS at the Fermi energy: 1.489 states/eV per atom
Offset from the most stable computed form: 490.3 meV/atom



# 20
DFT (PBE-GGA) results for a relaxed Cs2LiCoBr6 crystal.

POSCAR file:
```
Cs2LiCoBr6
1.0
6.4928 0.0000 0.0000
0.0000 7.6539 0.0000
0.0000 -3.8269 6.6284
Br Co Cs Li
6 1 2 1
Direct
0.2197 0.8500 0.1500
0.7803 0.1500 0.8500
0.2197 0.3000 0.1500
0.7803 0.1500 0.3000
0.2197 0.8500 0.7000
0.7803 0.7000 0.8500
0.0000 0.0000 0.0000
0.7693 0.6667 0.3333
0.2307 0.3333 0.6667
0.5000 0.0000 0.0000
```

Magnetization: 0.15 μB per formula unit
VASP energy: -3.25 eV per atom